[1]
The following is a DFT calculation (PBE) of an optimized crystal structure of TcOsW.

Summary:
Total moment ... 0.00 μB per formula unit
Space-group type ... F-43m
Energy ... -10.843 eV per atom

Unit cell a=4.2246 b=4.2246 c=4.2246 alpha=60.00 beta=60.00 gamma=60.00
Positions (direct):
Tc 0.0000 0.0000 0.0000
Os 0.5000 0.5000 0.5000
W 0.7500 0.7500 0.7500

=====

[2]
The following is a DFT calculation (PBE) of an optimized crystal structure of TcOsW2.

Summary:
Total moment ... 0.00 μB per formula unit
Space-group type ... Fm-3m
Energy ... -11.637 eV per atom

Unit cell a=4.4329 b=4.4329 c=4.4329 alpha=60.00 beta=60.00 gamma=60.00
Positions (direct):
Tc 0.0000 0.0000 0.0000
Os 0.5000 0.5000 0.5000
W 0.2500 0.2500 0.2500
W 0.7500 0.7500 0.7500

=====

[3]
The following is a DFT calculation (PBE) of an optimized crystal structure of TcOsW2.

Summary:
Total moment ... 0.00 μB per formula unit
Space-group type ... I-4m2
Energy ... -11.714 eV per atom

Unit cell a=4.8764 b=4.8764 c=4.8764 alpha=132.63 beta=132.63 gamma=69.24
Positions (direct):
Tc 0.0000 0.0000 0.0000
Os 0.7500 0.2500 0.5000
W 0.2500 0.7500 0.5000
W 0.5000 0.5000 0.0000

=====

[4]
The following is a DFT calculation (PBE) of an optimized crystal structure of Tc4OsW.

Summary:
Total moment ... 0.00 μB per formula unit
Space-group type ... F-43m
Energy ... -10.658 eV per atom

Unit cell a=5.0524 b=5.0524 c=5.0524 alpha=60.00 beta=60.00 gamma=60.00
Positions (direct):
Tc 0.3757 0.3757 0.3757
Tc 0.3757 0.3757 0.8728
Tc 0.3757 0.8728 0.3757
Tc 0.8728 0.3757 0.3757
Os 0.7500 0.7500 0.7500
W 0.0000 0.0000 0.0000

=====

[5]
The following is a DFT calculation (PBE) of an optimized crystal structure of TcOsW.

Summary:
Total moment ... 0.00 μB per formula unit
Space-group type ... I4mm
Energy ... -11.212 eV per atom

Unit cell a=5.0497 b=5.0497 c=5.0497 alpha=143.17 beta=143.17 gamma=53.07
Positions (direct):
Tc 0.0000 0.0000 0.0000
Os 0.3151 0.3151 0.0000
W 0.6538 0.6538 0.0000

=====

[6]
The following is a DFT calculation (PBE) of an optimized crystal structure of TcOsW2.

Summary:
Total moment ... 0.00 μB per formula unit
Space-group type ... P4mm
Energy ... -11.724 eV per atom

Unit cell a=2.7511 b=2.7511 c=8.1806 alpha=90.00 beta=90.00 gamma=90.00
Positions (direct):
Tc 0.0000 0.0000 0.0000
Os 0.5000 0.5000 0.7779
W 0.0000 0.0000 0.5306
W 0.5000 0.5000 0.2602

=====

[7]
The following is a DFT calculation (PBE) of an optimized crystal structure of TcOsW2.

Summary:
Total moment ... 0.00 μB per formula unit
Space-group type ... C2/m
Energy ... -11.695 eV per atom

Unit cell a=4.7813 b=4.7813 c=4.8961 alpha=99.33 beta=99.33 gamma=33.95
Positions (direct):
Tc 0.0000 0.0000 0.0000
Os 0.5000 0.5000 0.5000
W 0.2472 0.2472 0.7485
W 0.7528 0.7528 0.2515

=====

[8]
The following is a DFT calculation (PBE) of an optimized crystal structure of TcOsW2.

Summary:
Total moment ... 0.00 μB per formula unit
Space-group type ... P4/mmm
Energy ... -11.642 eV per atom

Unit cell a=3.2440 b=3.2440 c=5.8760 alpha=90.00 beta=90.00 gamma=90.00
Positions (direct):
Tc 0.0000 0.0000 0.0000
Os 0.0000 0.0000 0.5000
W 0.5000 0.5000 0.2521
W 0.5000 0.5000 0.7479

=====

- What is the energy in the seventh record?
  -11.695 eV per atom